VASP calculation (PBE) on crystalline AcPm2ScSe6 at its relaxed geometry.

Lattice parameters (Å, degrees): 7.3937 7.3937 19.6375 90.00 90.00 120.00
Space group R3 (No. 146, hexagonal axes)
Unique sites:
Ac  0.0000  0.0000  0.0000
Pm  0.0000  0.0000  0.2040
Pm  0.0000  0.0000  0.7145
Sc  0.0000  0.0000  0.5142
Se  0.0034  0.3636  0.7759
Se  0.0629  0.6907  0.2726

Properties
N(E_F) = 0.00 states/eV per atom
uncorrected formation energy = -1.803 eV per atom